HgBiW3 | PBEsol | optimized geometry

* crystal system: cubic
* space-group type: Pm-3m

abc: 4.961 4.961 4.961
angles: 90.00 90.00 90.00
Element x y z (fractional)
W1 0.000 0.500 0.000
W2 0.500 0.000 0.000
W3 0.000 0.000 0.500
Bi1 0.000 0.000 0.000
Hg1 0.500 0.500 0.500


Hg3BiW | PBEsol | optimized geometry

* crystal system: cubic
* space-group type: Pm-3m

abc: 5.201 5.201 5.201
angles: 90.00 90.00 90.00
Element x y z (fractional)
Hg1 0.500 0.000 0.000
Hg2 0.000 0.500 0.000
Hg3 0.000 0.000 0.500
W1 0.000 0.000 0.000
Bi1 0.500 0.500 0.500


YHg2Bi2 | PBEsol | optimized geometry

* crystal system: tetragonal
* space-group type: I4/mmm

abc: 4.092 4.092 9.202
angles: 102.85 102.85 90.00
Element x y z (fractional)
Hg1 0.750 0.250 0.500
Hg2 0.250 0.750 0.500
Y1 0.000 0.000 0.000
Bi1 0.588 0.588 0.177
Bi2 0.412 0.412 0.823


no.,ΔE_f (eV/atom)
1,3.180
2,1.086
3,-0.264